1.
Compound: Cd3PBr
Source: Alexandria
Functional: PBE
Structure: relaxed

## Properties
The polymorph energy (0 for the lowest one) comes out at 4.37 eV/f.u. For the density of states at the Fermi level, the calculation gives 1.7 states/eV/cell. The density is 4.62 g/cm³. The crystal system is cubic. Its space group is Pm-3m. Its total moment is 0.00 μB/atom. The calculated total energy comes out at -1.14 eV per atom.

Structure (POSCAR):
```
Cd3PBr
1.0
5.442 0.000 0.000
0.000 5.442 0.000
0.000 0.000 5.442
Cd P Br
3 1 1
direct
0.000 0.000 0.500
0.000 0.500 0.000
0.500 0.000 0.000
0.500 0.500 0.500
0.000 0.000 0.000
```

2.
Compound: Cd2PBr
Source: Alexandria
Functional: PBE
Structure: relaxed

## Properties
The polymorph energy (0 for the lowest one) comes out at 1.10 eV/f.u. For the density of states at the Fermi level, the calculation gives 1.3 states/eV/cell. The density is 5.89 g/cm³. The crystal system is monoclinic. Its space group is P2/m. Its total moment is 0.00 μB/atom. The calculated total energy comes out at -2.33 eV per atom.

Structure (POSCAR):
```
Cd2PBr
1.0
4.104 0.000 0.000
0.000 4.069 0.000
-0.009 0.000 5.671
Cd P Br
2 1 1
direct
0.000 0.000 0.000
0.500 0.500 0.500
0.000 0.000 0.500
0.500 0.500 0.000
```

3.
Compound: CdPBr4
Source: Alexandria
Functional: PBE
Structure: relaxed

## Properties
For the density of states at the Fermi level, the calculation gives 6.4 states/eV/cell. The density is 4.33 g/cm³. The crystal system is cubic. Its space group is F-43m. Its total moment is 0.24 μB/atom. The calculated total energy comes out at -1.30 eV per atom.

Structure (POSCAR):
```
CdPBr4
1.0
0.000 4.461 4.461
4.461 0.000 4.461
4.461 4.461 0.000
Cd P Br
1 1 4
direct
0.000 0.000 0.000
0.750 0.750 0.750
0.374 0.374 0.374
0.374 0.374 0.877
0.374 0.877 0.374
0.877 0.374 0.374
```

4.
Compound: Cd2PBr
Source: Alexandria
Functional: PBE
Structure: relaxed

## Properties
The polymorph energy (0 for the lowest one) comes out at 0.05 eV/f.u. The density is 4.59 g/cm³. The crystal system is tetragonal. Its space group is P-4m2. Its total moment is 0.00 μB/atom. The calculated total energy comes out at -2.59 eV per atom.

Structure (POSCAR):
```
Cd2PBr
1.0
4.466 0.000 0.000
0.000 4.466 0.000
0.000 0.000 6.085
Cd P Br
2 1 1
direct
0.000 0.500 0.188
0.500 0.000 0.812
0.500 0.500 0.000
0.000 0.000 0.500
```